A relaxed structure of Ba4TlInI2, computed with PBE.

As for the density of states at the Fermi level: 7.1 states/eV/f.u. The value obtained for the formation energy from raw total energies is -0.843 eV/atom. The calculation puts the total energy at -22.6 eV for the cell shown.

The space group is P2/m (No. 10) and the conventional cell measures 8.321, 4.721 and 9.846 Å, with angles of 90.00, 105.81 and 90.00 degrees. The asymmetric unit holds Ba at (0.246, 0.000, 0.238), Ba at (0.253, 0.500, 0.762), Tl at (0.500, 0.000, 0.000), In at (0.000, 0.500, 0.000), I at (0.000, 0.000, 0.500) and I at (0.500, 0.500, 0.500).

***

A relaxed structure of Sm6Cd2Ru, computed with PBE.

As for the density of states at the Fermi level: 9.5 states/eV/f.u. For the energy of formation, the calculation gives -0.1468 eV per atom. The calculation puts the total energy at -81.5 eV for the cell shown.

The space group is P2_1/c (No. 14) and the conventional cell measures 7.087, 7.385 and 12.705 Å, with angles of 90.00, 123.20 and 90.00 degrees. The asymmetric unit holds Sm at (0.158, 0.189, 0.460), Sm at (0.278, 0.699, 0.462), Sm at (0.340, 0.504, 0.750), Cd at (0.211, 0.081, 0.750) and Ru at (0.000, 0.000, 0.000).

***

A relaxed structure of SrTcN3, computed with PBE.

As for the density of states at the Fermi level: 2.7 states/eV/f.u. The value obtained for the formation energy from raw total energies is -0.250 eV/atom. The calculation puts the total energy at -306.2 eV for the cell shown.

The space group is Cmce (No. 64) and the conventional cell measures 7.838, 12.503 and 5.673 Å, with angles of 90.00, 90.00 and 90.00 degrees. The asymmetric unit holds Sr at (0.250, 0.142, 0.250), Tc at (0.000, 0.150, 0.731), N at (0.000, 0.027, 0.409), N at (0.000, 0.234, 0.013) and N at (0.250, 0.125, 0.750).

***

A relaxed structure of Na2Mn2SnSe6, computed with PBE.

As for the density of states at the Fermi level: 5.1 states/eV/f.u. The value obtained for the formation energy from raw total energies is -0.626 eV/atom. The calculation puts the total energy at -105.5 eV for the cell shown.

The space group is C2/m (No. 12) and the conventional cell measures 6.558, 11.497 and 7.380 Å, with angles of 90.00, 106.51 and 90.00 degrees. The asymmetric unit holds Na at (0.000, 0.159, 0.000), Mn at (0.000, 0.333, 0.500), Sn at (0.000, 0.000, 0.500), Se at (0.201, 0.500, 0.704) and Se at (0.241, 0.182, 0.703).

***

A relaxed structure of Na3Ac2ErO6, computed with PBE.

As for the density of states at the Fermi level: 0.0 states/eV/f.u. The value obtained for the formation energy from raw total energies is -2.613 eV/atom. The calculation puts the total energy at -155.7 eV for the cell shown.

The space group is C2/m (No. 12) and the conventional cell measures 6.325, 11.123 and 6.006 Å, with angles of 90.00, 109.11 and 90.00 degrees. The asymmetric unit holds Na at (0.000, 0.000, 0.000), Na at (0.000, 0.357, 0.000), Ac at (0.000, 0.168, 0.500), Er at (0.000, 0.500, 0.500), O at (0.220, 0.348, 0.715) and O at (0.244, 0.500, 0.286).

***

A relaxed structure of ZrAlNi, computed with PBE.

As for the density of states at the Fermi level: 1.9 states/eV/f.u. For the energy of formation, the calculation gives -0.6449 eV per atom. The calculation puts the total energy at -60.0 eV for the cell shown.

The space group is P-62m (No. 189) and the conventional cell measures 6.8550, 6.8550 and 3.5689 Å, with angles of 90.00, 90.00 and 120.00 degrees. The asymmetric unit holds Zr at (0.0000, 0.5901, 0.0000), Al at (0.0000, 0.2477, 0.5000), Ni at (0.0000, 0.0000, 0.0000) and Ni at (0.3333, 0.6667, 0.5000).

***

A relaxed structure of CePmCdCu, computed with PBE.

As for the density of states at the Fermi level: 10.3 states/eV/f.u. For the energy of formation, the calculation gives -0.0816 eV per atom. The calculation puts the total energy at -64.1 eV for the cell shown.

The space group is F-43m (No. 216) and the conventional cell measures 7.427, 7.427 and 7.427 Å, with angles of 90.00, 90.00 and 90.00 degrees. The asymmetric unit holds Ce at (0.000, 0.000, 0.000), Pm at (0.000, 0.000, 0.500), Cd at (0.250, 0.250, 0.750) and Cu at (0.250, 0.250, 0.250).

***

A relaxed structure of MnPb2N2, computed with PBE.

As for the density of states at the Fermi level: 1.8 states/eV/f.u. The value obtained for the formation energy from raw total energies is 0.272 eV/atom. The calculation puts the total energy at -63.8 eV for the cell shown.

The space group is C2/m (No. 12) and the conventional cell measures 5.522, 3.189 and 10.264 Å, with angles of 90.00, 98.44 and 90.00 degrees. The asymmetric unit holds Mn at (0.000, 0.000, 0.000), Pb at (0.247, 0.000, 0.688) and N at (0.191, 0.500, 0.091).

***

A relaxed structure of SiAgP, computed with PBE.

As for the density of states at the Fermi level: 0.5 states/eV/f.u. The calculation puts the energy above the most stable polymorph in this dataset at 443 meV/atom. The value obtained for the formation energy from raw total energies is 0.527 eV/atom. The calculation puts the total energy at -48.4 eV for the cell shown.

The space group is F-43m (No. 216) and the conventional cell measures 6.101, 6.101 and 6.101 Å, with angles of 90.00, 90.00 and 90.00 degrees. The asymmetric unit holds Si at (0.000, 0.000, 0.000), Ag at (0.250, 0.250, 0.750) and P at (0.000, 0.000, 0.500).

***

A relaxed structure of TbPr2MnN4, computed with PBE.

As for the density of states at the Fermi level: 3.5 states/eV/f.u. The value obtained for the formation energy from raw total energies is -0.902 eV/atom. The calculation puts the total energy at -255.5 eV for the cell shown.

The space group is Cmcm (No. 63) and the conventional cell measures 3.446, 11.963 and 12.129 Å, with angles of 90.00, 90.00 and 90.00 degrees. The asymmetric unit holds Tb at (0.000, 0.127, 0.250), Pr at (0.000, 0.367, 0.043), Mn at (0.000, 0.160, 0.750), N at (0.000, 0.000, 0.000), N at (0.000, 0.273, 0.642) and N at (0.000, 0.407, 0.250).

***

A relaxed structure of Ba2In5Pd3, computed with PBE.

As for the density of states at the Fermi level: 5.9 states/eV/f.u. The calculation puts the energy above the most stable polymorph in this dataset at 0 meV/atom. For the energy of formation, the calculation gives -0.5354 eV per atom. The calculation puts the total energy at -153.9 eV for the cell shown.

The space group is Ibam (No. 72) and the conventional cell measures 11.152, 13.991 and 6.837 Å, with angles of 90.00, 90.00 and 90.00 degrees. The asymmetric unit holds Ba at (0.238, 0.124, 0.000), In at (0.000, 0.269, 0.250), In at (0.000, 0.500, 0.250), In at (0.124, 0.120, 0.500), Pd at (0.000, 0.000, 0.250) and Pd at (0.131, 0.383, 0.000).

***

A relaxed structure of LuAgSnAu, computed with PBE.

As for the density of states at the Fermi level: 1.6 states/eV/f.u. For the energy of formation, the calculation gives -0.4811 eV per atom. The calculation puts the total energy at -66.3 eV for the cell shown.

The space group is F-43m (No. 216) and the conventional cell measures 6.963, 6.963 and 6.963 Å, with angles of 90.00, 90.00 and 90.00 degrees. The asymmetric unit holds Lu at (0.000, 0.000, 0.000), Ag at (0.250, 0.250, 0.250), Sn at (0.000, 0.000, 0.500) and Au at (0.250, 0.250, 0.750).